(1)
{
  "formula": "NbV2Ni",
  "functional": "PBE",
  "state": "relaxed",
  "lattice_angstrom": [[3.1556, 0.0000, 0.0000], [0.0000, 4.2183, 0.0000], [0.0000, 0.0000, 4.2183]],
  "species": ["Ni", "Nb", "V", "V"],
  "fractional_positions": [[0.5000, 0.5000, 0.5000], [0.5000, 0.0000, 0.0000], [0.0000, 0.0000, 0.5000], [0.0000, 0.5000, 0.0000]],
  "final_energy_ev_per_cell": -34.1,
  "e_form_ev_per_atom": 0.007,
  "sg": "P4/mmm (123)",
  "relative_energy_ev_per_fu": 0.00
}

---

(2)
{
  "formula": "NbVNi",
  "functional": "PBE",
  "state": "relaxed",
  "lattice_angstrom": [[2.5717, 0.0000, 0.0000], [0.0000, 4.4107, 0.0000], [0.0000, -2.2054, 3.8198]],
  "species": ["Nb", "Ni", "V"],
  "fractional_positions": [[0.6685, 0.3333, 0.6667], [0.1852, 0.6667, 0.3333], [0.1464, 0.0000, 0.0000]],
  "final_energy_ev_per_cell": -24.6,
  "e_form_ev_per_atom": 0.132,
  "sg": "P3m1 (156)",
  "relative_energy_ev_per_fu": 0.95
}

---

(3)
{
  "formula": "NbVNi14",
  "functional": "PBE",
  "state": "relaxed",
  "lattice_angstrom": [[-0.1684, -4.7344, 1.8179], [4.3123, 0.8236, 2.5442], [-3.7201, 2.2712, 5.5702]],
  "species": ["V", "Ni", "Ni", "Ni", "Ni", "Ni", "Ni", "Ni", "Ni", "Ni", "Ni", "Ni", "Ni", "Ni", "Ni", "Nb"],
  "fractional_positions": [[0.3750, 0.3750, 0.5000], [0.3750, 0.8750, 0.5000], [0.1291, 0.6209, 0.7533], [0.8750, 0.8750, 0.0000], [0.8750, 0.3750, 0.0000], [0.1292, 0.1292, 0.2468], [0.8750, 0.3750, 0.5000], [0.6209, 0.1291, 0.7533], [0.6208, 0.6208, 0.7533], [0.1291, 0.6209, 0.2467], [0.6208, 0.6208, 0.2467], [0.1292, 0.1292, 0.7532], [0.3750, 0.8750, 0.0000], [0.3750, 0.3750, 0.0000], [0.6209, 0.1291, 0.2467], [0.8750, 0.8750, 0.5000]],
  "final_energy_ev_per_cell": -101.9,
  "e_form_ev_per_atom": -0.112,
  "sg": "P4/mmm (123)"
}

---

(4)
{
  "formula": "NbV2Ni9",
  "functional": "PBE",
  "state": "relaxed",
  "lattice_angstrom": [[3.6182, 0.0000, 0.0000], [0.0000, 3.6182, 0.0000], [0.0000, 0.0000, 10.7951]],
  "species": ["V", "V", "Ni", "Ni", "Ni", "Ni", "Ni", "Ni", "Ni", "Ni", "Ni", "Nb"],
  "fractional_positions": [[0.0000, 0.0000, 0.6608], [0.0000, 0.0000, 0.3392], [0.5000, 0.5000, 0.0000], [0.0000, 0.5000, 0.5000], [0.5000, 0.5000, 0.6645], [0.0000, 0.5000, 0.1722], [0.5000, 0.5000, 0.3355], [0.5000, 0.0000, 0.1722], [0.5000, 0.0000, 0.8278], [0.0000, 0.5000, 0.8278], [0.5000, 0.0000, 0.5000], [0.0000, 0.0000, 0.0000]],
  "final_energy_ev_per_cell": -82.3,
  "e_form_ev_per_atom": -0.161,
  "sg": "P4/mmm (123)"
}

---

(5)
{
  "formula": "NbVNi",
  "functional": "PBE",
  "state": "relaxed",
  "lattice_angstrom": [[-3.5479, -3.2904, 0.3033], [2.7786, -3.2358, -2.6015], [2.7624, -2.4282, 5.9707]],
  "species": ["Ni", "Ni", "Ni", "Ni", "Nb", "Nb", "Nb", "Nb", "V", "V", "V", "V"],
  "fractional_positions": [[0.0000, 0.5000, 0.5000], [0.5000, 0.5000, 0.0000], [0.0000, 0.0000, 0.5000], [0.5000, 0.0000, 0.0000], [0.5000, 0.7500, 0.3773], [0.0000, 0.7500, 0.1227], [0.0000, 0.2500, 0.8773], [0.5000, 0.2500, 0.6227], [0.7500, 0.2500, 0.2500], [0.7500, 0.7500, 0.7500], [0.2500, 0.7500, 0.7500], [0.2500, 0.2500, 0.2500]],
  "final_energy_ev_per_cell": -101.6,
  "e_form_ev_per_atom": -0.146,
  "sg": "Imma (74)",
  "relative_energy_ev_per_fu": 0.11
}

---

(6)
{
  "formula": "NbVNi2",
  "functional": "PBE",
  "state": "relaxed",
  "lattice_angstrom": [[-0.6570, -1.9707, -2.8197], [5.0432, -3.5042, 1.2739], [-5.5625, -6.0079, 5.4949]],
  "species": ["Ni", "Ni", "Ni", "Ni", "Ni", "Ni", "Ni", "Ni", "Nb", "Nb", "Nb", "Nb", "V", "V", "V", "V"],
  "fractional_positions": [[0.2500, 0.6621, 0.5190], [0.7500, 0.3379, 0.4810], [0.2500, 0.9275, 0.1782], [0.2500, 0.4275, 0.3218], [0.2500, 0.1621, 0.9810], [0.7500, 0.8379, 0.0190], [0.7500, 0.5725, 0.6782], [0.7500, 0.0725, 0.8218], [0.7500, 0.7233, 0.3197], [0.7500, 0.2233, 0.1803], [0.2500, 0.7767, 0.8197], [0.2500, 0.2767, 0.6803], [0.7500, 0.4372, 0.9126], [0.7500, 0.9372, 0.5874], [0.2500, 0.5628, 0.0874], [0.2500, 0.0628, 0.4126]],
  "final_energy_ev_per_cell": -124.5,
  "e_form_ev_per_atom": -0.094,
  "sg": "Pnma (62)",
  "relative_energy_ev_per_fu": 0.23
}

---

(7)
{
  "formula": "Nb3VNi",
  "functional": "PBE",
  "state": "relaxed",
  "lattice_angstrom": [[-4.3324, 0.4083, -1.5366], [-1.5843, -1.4833, 4.0727], [-0.1336, 4.3509, 1.5327]],
  "species": ["Nb", "Nb", "Nb", "Ni", "V"],
  "fractional_positions": [[0.5000, 0.0000, 0.0000], [0.0000, 0.5000, 0.0000], [0.0000, 0.0000, 0.5000], [0.0000, 0.0000, 0.0000], [0.5000, 0.5000, 0.5000]],
  "final_energy_ev_per_cell": -40.2,
  "e_form_ev_per_atom": 0.988,
  "sg": "Pm-3m (221)",
  "relative_energy_ev_per_fu": 0.00
}

---

(8)
{
  "formula": "NbVNi2",
  "functional": "PBE",
  "state": "relaxed",
  "lattice_angstrom": [[2.6468, 0.0000, 0.0000], [0.0000, 2.6468, 0.0000], [0.0000, 0.0000, 7.5524]],
  "species": ["Nb", "Ni", "Ni", "V"],
  "fractional_positions": [[0.5000, 0.5000, 0.0000], [0.0000, 0.0000, 0.7331], [0.0000, 0.0000, 0.2669], [0.5000, 0.5000, 0.5000]],
  "final_energy_ev_per_cell": -31.3,
  "e_form_ev_per_atom": -0.139,
  "sg": "P4/mmm (123)",
  "relative_energy_ev_per_fu": 0.05
}